Record 1
A geometry-optimized Ac4GaSn3 structure, computed with PBE.

Computed properties:
The value obtained for the calculated volume is 34.62 A^3/atom. As for the formation enthalpy at 0 K: -0.6710 eV per atom.

Lattice parameters (Å, degrees): 4.961 4.528 12.329 90.00 90.00 90.00
Sites, in units of the cell vectors:
Ac 0.000 0.000 0.137
Ac 0.500 0.000 0.640
Ac 0.500 0.500 0.353
Ac 0.000 0.500 0.864
Ga 0.500 0.500 0.078
Sn 0.000 0.500 0.583
Sn 0.500 0.000 0.928
Sn 0.000 0.000 0.417

***

Record 2
A geometry-optimized Ac3Ga5Sn12 structure, computed with PBE.

Computed properties:
The value obtained for the calculated volume is 33.31 A^3/atom. As for the formation enthalpy at 0 K: 0.0591 eV per atom.

Lattice parameters (Å, degrees): 15.127 15.127 15.127 109.47 109.47 109.47
Sites, in units of the cell vectors:
Sn 0.312 0.793 0.379
Sn 0.293 0.379 0.812
Sn 0.121 0.188 0.207
Sn 0.293 0.914 0.981
Sn 0.481 0.688 0.067
Sn 0.914 0.621 0.933
Sn 0.433 0.019 0.312
Sn 0.414 0.981 0.793
Sn 0.707 0.621 0.188
Sn 0.688 0.207 0.621
Sn 0.812 0.879 0.293
Sn 0.379 0.293 0.312
Sn 0.707 0.086 0.019
Sn 0.067 0.188 0.481
Sn 0.688 0.481 0.567
Sn 0.914 0.293 0.481
Sn 0.433 0.414 0.621
Sn 0.481 0.793 0.914
Sn 0.812 0.933 0.019
Sn 0.519 0.312 0.933
Sn 0.188 0.121 0.707
Sn 0.567 0.586 0.379
Sn 0.567 0.981 0.688
Sn 0.121 0.933 0.414
Sn 0.879 0.067 0.586
Sn 0.793 0.481 0.414
Sn 0.019 0.586 0.707
Sn 0.379 0.086 0.567
Sn 0.621 0.707 0.688
Sn 0.586 0.567 0.879
Sn 0.188 0.067 0.981
Sn 0.019 0.433 0.812
Sn 0.414 0.433 0.121
Sn 0.793 0.312 0.879
Sn 0.933 0.121 0.914
Sn 0.207 0.519 0.586
Sn 0.519 0.207 0.086
Sn 0.067 0.879 0.086
Sn 0.312 0.519 0.433
Sn 0.933 0.812 0.519
Sn 0.086 0.707 0.519
Sn 0.981 0.414 0.293
Sn 0.086 0.379 0.067
Sn 0.621 0.914 0.433
Sn 0.207 0.688 0.121
Sn 0.981 0.567 0.188
Sn 0.879 0.812 0.793
Sn 0.586 0.019 0.207
Ga 0.000 0.500 0.000
Ga 0.750 0.625 0.375
Ga 0.500 0.500 0.000
Ga 0.500 0.000 0.500
Ga 0.750 0.125 0.875
Ga 0.375 0.125 0.750
Ga 0.125 0.375 0.250
Ga 0.875 0.625 0.750
Ga 0.250 0.875 0.125
Ga 0.125 0.750 0.375
Ga 0.625 0.750 0.875
Ga 0.375 0.250 0.125
Ga 0.500 0.000 0.000
Ga 0.000 0.000 0.000
Ga 0.250 0.375 0.625
Ga 0.875 0.250 0.625
Ga 0.625 0.875 0.250
Ga 0.500 0.500 0.500
Ga 0.000 0.500 0.500
Ga 0.000 0.000 0.500
Ac 0.625 0.375 0.750
Ac 0.875 0.125 0.250
Ac 0.875 0.750 0.125
Ac 0.375 0.625 0.250
Ac 0.125 0.250 0.875
Ac 0.625 0.250 0.375
Ac 0.750 0.875 0.625
Ac 0.375 0.750 0.625
Ac 0.750 0.375 0.125
Ac 0.250 0.125 0.375
Ac 0.125 0.875 0.750
Ac 0.250 0.625 0.875

***

Record 3
A geometry-optimized AcGa3Sn3 structure, computed with PBE.

Computed properties:
The value obtained for the calculated volume is 30.52 A^3/atom. As for the formation enthalpy at 0 K: 0.0365 eV per atom.

Lattice parameters (Å, degrees): 7.532 7.532 7.532 90.00 90.00 90.00
Sites, in units of the cell vectors:
Sn 0.250 0.500 0.000
Sn 0.500 0.000 0.250
Sn 0.500 0.000 0.750
Sn 0.000 0.750 0.500
Sn 0.000 0.250 0.500
Sn 0.750 0.500 0.000
Ac 0.000 0.000 0.000
Ac 0.500 0.500 0.500
Ga 0.500 0.750 0.000
Ga 0.500 0.250 0.000
Ga 0.750 0.000 0.500
Ga 0.000 0.500 0.750
Ga 0.250 0.000 0.500
Ga 0.000 0.500 0.250